! NiSe2Br | the Alexandria database | PBE-GGA | optimized geometry; values from VASP
&SYSTEM
  ibrav = 0, nat = 16, ntyp = 3
/
ATOMIC_SPECIES
Ni 58.69 Ni.upf
Se 78.96 Se.upf
Br 79.90 Br.upf
CELL_PARAMETERS angstrom
6.988 0.000 0.000
0.000 4.568 0.000
0.000 0.000 11.605
ATOMIC_POSITIONS crystal
Ni 0.005 0.250 0.126
Ni 0.495 0.750 0.626
Ni 0.505 0.250 0.374
Ni 0.995 0.750 0.874
Se 0.081 0.750 0.072
Se 0.179 0.250 0.301
Se 0.321 0.750 0.801
Se 0.419 0.250 0.572
Se 0.581 0.750 0.428
Se 0.679 0.250 0.199
Se 0.821 0.750 0.699
Se 0.919 0.250 0.928
Br 0.065 0.750 0.376
Br 0.435 0.250 0.876
Br 0.565 0.750 0.124
Br 0.935 0.250 0.624
! Relative energy among the computed polymorphs   245 meV/atom
! Theoretical density   5.32 Mg/m³
! Final energy   -14.4 eV per formula unit
! Formation energy without anion corrections   3 kJ/mol of formula units
! Volume   23.2 Å³/atom